(1)
Here is an optimized crystal structure of In2SbRh from the Alexandria database. Energies are from PBE.

a = 6.988 Å, b = 6.988 Å, c = 6.988 Å
α = 154.07°, β = 141.53°, γ = 46.97°
Positions (direct):
In 0.999 0.999 0.000
Rh 0.505 0.505 0.000
Sb 0.682 0.182 0.500
In 0.314 0.814 0.500

The total energy comes out at -17.72 eV for the cell shown. The calculation puts the uncorrected formation energy at -0.77 eV per formula unit. The calculation puts the total moment at 0.0 μB/f.u.

---

(2)
Here is an optimized crystal structure of TiFe3Pb from the Alexandria database. Energies are from PBE.

a = 4.824 Å, b = 4.824 Å, c = 4.824 Å
α = 90.00°, β = 90.00°, γ = 90.00°
Each line ends with the local moment (μB).
Positions (direct):
Ti 0.500 0.500 0.500  -1.70
Fe 0.500 0.000 0.000  2.72
Pb 0.000 0.000 0.000  -0.06
Fe 0.000 0.000 0.500  2.97
Fe 0.000 0.500 0.000  2.83

Its formation enthalpy at 0 K is 1.614 eV/atom. The total energy comes out at -28.92 eV for the cell shown. The calculation puts the total moment at 6.1 μB/f.u.

---

(3)
Here is an optimized crystal structure of Dy2Si4Os3 from the Alexandria database. Energies are from PBE.

a = 5.529 Å, b = 5.529 Å, c = 6.563 Å
α = 102.15°, β = 102.15°, γ = 120.03°
Positions (direct):
Os 0.000 0.500 0.000
Si 0.980 0.335 0.315
Si 0.335 0.980 0.315
Dy 0.634 0.634 0.268
Si 0.665 0.020 0.685
Dy 0.366 0.366 0.732
Os 0.500 0.000 0.000
Os 0.000 0.000 0.000
Si 0.020 0.665 0.685

The total energy comes out at -68.43 eV for the cell shown. The calculation puts the uncorrected formation energy at -3.85 eV per formula unit. The calculation puts the total moment at 0.0 μB/f.u.

---

(4)
Here is an optimized crystal structure of ScCr2Sb from the Alexandria database. Energies are from PBE.

a = 3.111 Å, b = 3.111 Å, c = 7.322 Å
α = 90.00°, β = 90.00°, γ = 90.00°
Each line ends with the local moment (μB).
Positions (direct):
Sb 0.000 0.000 0.459  -0.03
Sc 0.500 0.500 0.790  0.35
Cr 0.500 0.500 0.205  2.02
Cr 0.000 0.000 0.046  -1.66

The total energy comes out at -29.36 eV for the cell shown. The calculation puts the uncorrected formation energy at 0.34 eV per formula unit. The calculation puts the total moment at 0.9 μB/f.u.

---

(5)
Here is an optimized crystal structure of Pu2TeRh from the Alexandria database. Energies are from PBE.

a = 4.112 Å, b = 4.112 Å, c = 7.662 Å
α = 74.44°, β = 74.44°, γ = 60.00°
Each line ends with the local moment (μB).
Positions (direct):
Te 0.500 0.500 0.500  -0.11
Pu 0.737 0.737 0.788  5.25
Pu 0.263 0.263 0.212  5.25
Rh 0.000 0.000 0.000  -0.40

The total energy comes out at -41.76 eV for the cell shown. The calculation puts the uncorrected formation energy at -2.60 eV per formula unit. The calculation puts the total moment at 10.7 μB/f.u.

---

(6)
Here is an optimized crystal structure of BaY2Mn from the Alexandria database. Energies are from PBE.

a = 3.610 Å, b = 3.607 Å, c = 10.568 Å
α = 70.06°, β = 90.00°, γ = 90.00°
Each line ends with the local moment (μB).
Positions (direct):
Y 0.000 0.082 0.919  -0.22
Mn 0.500 0.750 0.750  3.27
Y 0.000 0.418 0.581  -0.22
Ba 0.500 0.250 0.250  0.03

Its formation enthalpy at 0 K is 0.211 eV/atom. The total energy comes out at -23.18 eV for the cell shown. The calculation puts the total moment at 2.7 μB/f.u.